# 1
Crystalline AcThTa4 at its relaxed geometry. Source: OQMD via LeMat-Bulk, functional PBE-GGA.

Results
* energy: -0.660 Ry/atom
* calculated volume: 149.3 Å³/cell
* ΔH_f (0 K): 0.85 eV per atom
* calculated density: 13.16 g cm⁻³

The structure in extended XYZ format:
```
6
Lattice="2.647 1.529 6.148 -2.647 1.529 6.148 0.000 -3.057 6.148" Properties=species:S:1:pos:R:3 pbc="T T T"
Ac 0.000 0.000 0.000
Th 0.000 0.000 9.222
Ta 0.000 0.000 3.433
Ta 0.000 0.000 6.049
Ta 0.000 0.000 12.395
Ta 0.000 0.000 15.011
```

# 2
Crystalline AcTbTe3 at its relaxed geometry. Source: OQMD via LeMat-Bulk, functional PBE-GGA.

Results
* energy: -0.378 Ry/atom
* calculated volume: 356.6 Å³/cell
* calculated density: 7.16 g cm⁻³

The structure in extended XYZ format:
```
10
Lattice="2.234 -7.203 0.000 2.234 7.203 0.000 0.000 0.000 11.083" Properties=species:S:1:pos:R:3 pbc="T T T"
Ac 2.234 3.616 8.312
Ac 2.234 -3.616 2.771
Tb 2.234 0.000 0.000
Tb 2.234 0.000 5.541
Te 2.234 5.133 0.650
Te 2.234 5.133 4.891
Te 2.234 1.168 2.771
Te 2.234 -1.168 8.312
Te 2.234 -5.133 6.192
Te 2.234 -5.133 10.432
```